DFT (PBE) results for a relaxed structure of TmAlMo.

crystal system	cubic
magnetization	9.25	μB per cell
E	-5.202	eV/atom

Lattice parameters (Å, degrees): 6.6866 6.6866 6.6866 90.00 90.00 90.00
Last column: nearest neighbours and their distance in Å.
Space group F-43m (No. 216)
One atom of each set of equivalent atoms:
Tm 0.0000 0.0000 0.0000 [4 per cell]  4 Mo 2.90, 4 Al 2.90
Al 0.2500 0.2500 0.7500 [4 per cell]  4 Tm 2.90
Mo 0.2500 0.2500 0.2500 [4 per cell]  4 Tm 2.90

DFT (PBE) results for a relaxed structure of TmAlMo.

crystal system	trigonal
magnetization	0.11	μB per cell
E	-6.370	eV/atom

Lattice parameters (Å, degrees): 4.7137 4.7137 9.2574 90.00 90.00 120.00
Last column: nearest neighbours and their distance in Å.
Space group P3m1 (No. 156)
One atom of each set of equivalent atoms:
Tm 0.0000 0.0000 0.0000 [1 per cell]  6 Al 3.06-3.13, 2 Tm 3.08-3.09, 6 Mo 3.12-3.28
Tm 0.0000 0.0000 0.3327 [1 per cell]  6 Al 3.06-3.13, 2 Tm 3.08-3.09, 6 Mo 3.13-3.29
Tm 0.0000 0.0000 0.6663 [1 per cell]  6 Mo 2.99-3.00, 2 Tm 3.09, 6 Al 3.20-3.21
Al 0.3333 0.6667 0.4833 [1 per cell]  4 Mo 2.76-2.94, 3 Tm 3.06
Al 0.3333 0.6667 0.8490 [1 per cell]  4 Mo 2.75-2.93, 3 Tm 3.06
Al 0.6667 0.3333 0.1661 [1 per cell]  3 Mo 2.72
Mo 0.3333 0.6667 0.1659 [1 per cell]  5 Al 2.72-2.94
Mo 0.6667 0.3333 0.5317 [1 per cell]  1 Mo 2.51, 3 Al 2.76
Mo 0.6667 0.3333 0.8029 [1 per cell]  1 Mo 2.51, 3 Al 2.75

DFT (PBE) results for a relaxed structure of UAlMo.

crystal system	cubic
magnetization	4.62	μB per cell
E	-8.157	eV/atom

Lattice parameters (Å, degrees): 6.3320 6.3320 6.3320 90.00 90.00 90.00
Last column: nearest neighbours and their distance in Å.
Space group F-43m (No. 216)
One atom of each set of equivalent atoms:
U 0.0000 0.0000 0.0000 [4 per cell]  4 Mo 2.74
Al 0.0000 0.0000 0.5000 [4 per cell]  4 Mo 2.74
Mo 0.2500 0.2500 0.7500 [4 per cell]  4 U 2.74, 4 Al 2.74

DFT (PBE) results for a relaxed structure of U6Al43Mo4.

crystal system	hexagonal
magnetization	31.20	μB per cell
E	-5.329	eV/atom

Lattice parameters (Å, degrees): 11.0182 11.0182 17.4917 90.00 90.00 120.00
Last column: nearest neighbours and their distance in Å.
Space group P6_3/mcm (No. 193)
One atom of each set of equivalent atoms:
U 0.0000 0.4772 0.0872 [12 per cell]  14 Al 3.04-3.39, 1 U 3.09
Al 0.0000 0.1486 0.7500 [6 per cell]  2 Mo 2.56, 6 Al 2.84
Al 0.0000 0.1626 0.1135 [12 per cell]  2 Mo 2.66-2.67, 7 Al 2.71-2.94
Al 0.0000 0.2545 0.5302 [12 per cell]  9 Al 2.71-3.00, 1 Mo 2.85
Al 0.1417 0.5503 0.2500 [12 per cell]  1 Mo 2.69, 7 Al 2.70-2.83
Al 0.1617 0.3960 0.6625 [24 per cell]  6 Al 2.68-2.86, 1 Mo 2.71
Al 0.2466 0.4933 0.0000 [12 per cell]  8 Al 2.73-3.02, 2 U 3.04
Al 0.3333 0.6667 0.1276 [8 per cell]  9 Al 2.68-2.82
Mo 0.0000 0.0000 0.0000 [2 per cell]  12 Al 2.67-2.85
Mo 0.0000 0.2682 0.2500 [6 per cell]  10 Al 2.56-2.71

DFT (PBE) results for a relaxed structure of UAlMo.

crystal system	cubic
magnetization	1.25	μB per cell
E	-7.446	eV/atom

Lattice parameters (Å, degrees): 6.3816 6.3816 6.3816 90.00 90.00 90.00
Last column: nearest neighbours and their distance in Å.
Space group F-43m (No. 216)
One atom of each set of equivalent atoms:
U 0.0000 0.0000 0.0000 [4 per cell]  4 Mo 2.76, 4 Al 2.76
Al 0.2500 0.2500 0.7500 [4 per cell]  4 U 2.76
Mo 0.2500 0.2500 0.2500 [4 per cell]  4 U 2.76

DFT (PBE) results for a relaxed structure of Al2MoW5.

crystal system	tetragonal
magnetization	0.00	μB per cell
E	-10.493	eV/atom

Lattice parameters (Å, degrees): 5.0100 5.0100 4.9773 90.00 90.00 90.00
Last column: nearest neighbours and their distance in Å.
Space group P-4m2 (No. 115)
One atom of each set of equivalent atoms:
Al 0.0000 0.5000 0.2496 [2 per cell]  10 W 2.79-2.80, 2 Mo 2.80
Mo 0.0000 0.0000 0.0000 [1 per cell]  2 W 2.49
W 0.0000 0.0000 0.5000 [1 per cell]  2 Mo 2.49
W 0.2501 0.5000 0.7494 [4 per cell]  2 W 2.50-2.51, 4 Al 2.79-2.80

DFT (PBE) results for a relaxed structure of Al2Mo2W.

crystal system	tetragonal
magnetization	0.00	μB per cell
E	-7.929	eV/atom

Lattice parameters (Å, degrees): 3.6351 3.6351 12.4329 90.00 90.00 90.00
Last column: nearest neighbours and their distance in Å.
Space group I4/mmm (No. 139)
One atom of each set of equivalent atoms:
Al 0.0000 0.0000 0.0948 [4 per cell]  1 Al 2.36
Mo 0.0000 0.5000 0.2500 [4 per cell]  4 Mo 2.57, 4 Al 2.65
W 0.0000 0.0000 0.5000 [2 per cell]  8 Al 2.83

DFT (PBE) results for a relaxed structure of Al2MoW.

crystal system	cubic
magnetization	0.00	μB per cell
E	-7.935	eV/atom

Lattice parameters (Å, degrees): 6.2426 6.2426 6.2426 90.00 90.00 90.00
Last column: nearest neighbours and their distance in Å.
Space group F-43m (No. 216)
One atom of each set of equivalent atoms:
Al 0.0000 0.0000 0.0000 [4 per cell]  4 Al 2.70, 4 Mo 2.70
Al 0.2500 0.2500 0.2500 [4 per cell]  4 W 2.70, 4 Al 2.70
Mo 0.2500 0.2500 0.7500 [4 per cell]  4 W 2.70, 4 Al 2.70
W 0.0000 0.0000 0.5000 [4 per cell]  4 Mo 2.70, 4 Al 2.70